Compound: DyZn3CuPd
Source: Alexandria via LeMat-Bulk
Functional: PBE
Structure: relaxed

Geometry as CIF:
```
data_DyZn3CuPd
_chemical_formula_sum 'Dy4 Zn12 Cu4 Pd4'
_space_group_name_H-M_alt 'C m c m'
_space_group_IT_number 63
_space_group_name_Hall '-C 2c 2'
_cell_length_a 8.0098
_cell_length_b 10.9215
_cell_length_c 5.2851
_cell_angle_alpha 90.00
_cell_angle_beta 90.00
_cell_angle_gamma 90.00
loop_
_atom_site_label
_atom_site_type_symbol
_atom_site_fract_x
_atom_site_fract_y
_atom_site_fract_z
_atom_site_occupancy
Dy1 Dy 0.0000 0.1933 0.2500 1
Zn1 Zn 0.0000 0.3279 0.7500 1
Zn2 Zn 0.2496 0.0000 0.0000 1
Cu1 Cu 0.0000 0.4476 0.2500 1
Pd1 Pd 0.0000 0.0903 0.7500 1
```

## Properties
ρ = 7.60 g/cm³
ΔH_f (0 K) = -20.9 kJ per mole of atoms
N(E_F) = 0.5166 states/eV/atom

***

Compound: DyZn6CuPd
Source: Alexandria via LeMat-Bulk
Functional: PBE
Structure: relaxed

Geometry as CIF:
```
data_DyZn6CuPd
_chemical_formula_sum 'Dy4 Zn24 Cu4 Pd4'
_space_group_name_H-M_alt 'I m m a'
_space_group_IT_number 74
_space_group_name_Hall '-I 2b 2'
_cell_length_a 5.1831
_cell_length_b 9.7814
_cell_length_c 13.8143
_cell_angle_alpha 90.00
_cell_angle_beta 90.00
_cell_angle_gamma 90.00
loop_
_atom_site_label
_atom_site_type_symbol
_atom_site_fract_x
_atom_site_fract_y
_atom_site_fract_z
_atom_site_occupancy
Dy1 Dy 0.0000 0.2500 0.1143 1
Zn1 Zn 0.0000 0.2500 0.5589 1
Zn2 Zn 0.0000 0.2500 0.9102 1
Zn3 Zn 0.2489 0.0166 0.6546 1
Cu1 Cu 0.0000 0.0000 0.5000 1
Pd1 Pd 0.2500 0.2500 0.7500 1
```

## Properties
ρ = 6.88 g/cm³
ΔH_f (0 K) = 3.2 kJ per mole of atoms
N(E_F) = 0.4832 states/eV/atom

***

Compound: DyZrCuPd
Source: Alexandria via LeMat-Bulk
Functional: PBE
Structure: relaxed

Geometry as CIF:
```
data_DyZrCuPd
_chemical_formula_sum 'Dy4 Zr4 Cu4 Pd4'
_space_group_name_H-M_alt 'F -4 3 m'
_space_group_IT_number 216
_space_group_name_Hall 'F -4 2 3'
_cell_length_a 6.8138
_cell_length_b 6.8138
_cell_length_c 6.8138
_cell_angle_alpha 90.00
_cell_angle_beta 90.00
_cell_angle_gamma 90.00
loop_
_atom_site_label
_atom_site_type_symbol
_atom_site_fract_x
_atom_site_fract_y
_atom_site_fract_z
_atom_site_occupancy
Dy1 Dy 0.0000 0.0000 0.0000 1
Zr1 Zr 0.0000 0.0000 0.5000 1
Cu1 Cu 0.2500 0.2500 0.2500 1
Pd1 Pd 0.2500 0.2500 0.7500 1
```

## Properties
ρ = 8.90 g/cm³
ΔH_f (0 K) = -37.6 kJ per mole of atoms
N(E_F) = 1.0093 states/eV/atom